Entry 1:
First-principles (PBE-GGA) data for a relaxed Tb3Ce2NdDy6 crystal, as listed in Alexandria via LeMat-Bulk.

Cell lengths 6.1556, 6.1556, 11.7579 Å; angles 95.01, 95.01, 120.00 degrees
With the nearest neighbours (Å) after each atom.
Positions (direct):
Tb: 0.1663 0.8337 0.5000  6 Dy 3.54-3.56, 6 Tb 3.55-3.56
Tb: 0.8337 0.1663 0.5000  6 Dy 3.54-3.56, 6 Tb 3.55-3.56
Tb: 0.5000 0.5000 0.5000  6 Dy 3.54-3.55, 6 Tb 3.55-3.56
Ce: 0.3333 0.6667 0.0000  6 Dy 3.54, 3 Ce 3.55, 3 Nd 3.55
Ce: 0.6667 0.3333 0.0000  6 Dy 3.54, 3 Ce 3.55, 3 Nd 3.55
Nd: 0.0000 0.0000 0.0000  6 Ce 3.55, 6 Dy 3.55-3.56
Dy: 0.9162 0.5800 0.7502  6 Dy 3.54-3.58, 2 Ce 3.54, 3 Tb 3.54-3.56, 1 Nd 3.56
Dy: 0.7476 0.7476 0.2498  6 Dy 3.54-3.58, 3 Tb 3.54-3.55, 2 Ce 3.54, 1 Nd 3.55
Dy: 0.0838 0.4200 0.2498  6 Dy 3.54-3.58, 2 Ce 3.54, 3 Tb 3.54-3.56, 1 Nd 3.56
Dy: 0.5800 0.9162 0.7502  6 Dy 3.54-3.58, 2 Ce 3.54, 3 Tb 3.54-3.56, 1 Nd 3.56
Dy: 0.2524 0.2524 0.7502  6 Dy 3.54-3.58, 3 Tb 3.54-3.55, 2 Ce 3.54, 1 Nd 3.55
Dy: 0.4200 0.0838 0.2498  6 Dy 3.54-3.58, 2 Ce 3.54, 3 Tb 3.54-3.56, 1 Nd 3.56

**E**: -4.797 eV per atom

Entry 2:
First-principles (PBE-GGA) data for a relaxed TbCeNdDy crystal, as listed in Alexandria via LeMat-Bulk.

Cell lengths 5.7012, 5.7012, 5.7012 Å; angles 60.00, 60.00, 60.00 degrees
With the nearest neighbours (Å) after each atom.
Positions (direct):
Nd: 0.2500 0.2500 0.2500  4 Dy 3.49, 4 Tb 3.49
Tb: 0.0000 0.0000 0.0000  4 Ce 3.49, 4 Nd 3.49
Ce: 0.7500 0.7500 0.7500  4 Tb 3.49, 4 Dy 3.49
Dy: 0.5000 0.5000 0.5000  4 Ce 3.49, 4 Nd 3.49

**E**: -4.807 eV per atom

Entry 3:
First-principles (PBE-GGA) data for a relaxed TbCeNd2Dy5 crystal, as listed in Alexandria via LeMat-Bulk.

Cell lengths 8.5961, 8.5961, 9.9289 Å; angles 115.65, 115.65, 90.00 degrees
With the nearest neighbours (Å) after each atom.
Positions (direct):
Tb: 0.2500 0.2500 0.5000  10 Dy 3.53-3.93
Tb: 0.7500 0.7500 0.5000  10 Dy 3.53-3.93
Ce: 0.2500 0.7500 0.5000  4 Dy 3.01
Ce: 0.7500 0.2500 0.5000  4 Dy 3.01
Nd: 0.1211 0.3789 0.0000  1 Nd 2.95, 2 Dy 3.08
Nd: 0.6211 0.1211 0.0000  1 Nd 2.95, 2 Dy 3.08
Nd: 0.3789 0.8789 0.0000  1 Nd 2.95, 2 Dy 3.08
Nd: 0.8789 0.6211 0.0000  1 Nd 2.95, 2 Dy 3.08
Dy: 0.9377 0.4377 0.2827  1 Ce 3.01, 1 Nd 3.08
Dy: 0.6550 0.1550 0.7173  1 Ce 3.01, 1 Nd 3.08
Dy: 0.0623 0.5623 0.7173  1 Ce 3.01, 1 Nd 3.08
Dy: 0.1550 0.0623 0.7173  1 Ce 3.01, 1 Nd 3.08
Dy: 0.5623 0.6550 0.7173  1 Ce 3.01, 1 Nd 3.08
Dy: 0.8450 0.9377 0.2827  1 Ce 3.01, 1 Nd 3.08
Dy: 0.4377 0.3450 0.2827  1 Ce 3.01, 1 Nd 3.08
Dy: 0.3450 0.8450 0.2827  1 Ce 3.01, 1 Nd 3.08
Dy: 0.5000 0.5000 0.0000  4 Nd 3.42, 8 Dy 3.81
Dy: 0.0000 0.0000 0.0000  4 Nd 3.42, 8 Dy 3.81

**E**: -4.521 eV per atom

Entry 4:
First-principles (PBE-GGA) data for a relaxed CeNd4Dy3Te8 crystal, as listed in Alexandria via LeMat-Bulk.

Cell lengths 8.8443, 8.9312, 8.8455 Å; angles 119.69, 120.00, 90.00 degrees
With the nearest neighbours (Å) after each atom.
Positions (direct):
Ce: 0.0000 0.5000 0.0000  6 Te 3.13
Nd: 0.5000 0.0000 0.0000  6 Te 3.15
Nd: 0.5000 0.0000 0.5000  6 Te 3.20
Nd: 0.0000 0.0000 0.0000  6 Te 3.20
Nd: 0.0000 0.0000 0.5000  6 Te 3.20
Dy: 0.5000 0.5000 0.0000  6 Te 3.09
Dy: 0.5000 0.5000 0.5000  6 Te 3.09
Dy: 0.0000 0.5000 0.5000  6 Te 3.09
Te: 0.2494 0.7410 0.9917  2 Dy 3.09, 1 Ce 3.13, 3 Nd 3.15-3.20
Te: 0.2493 0.7411 0.4987  2 Dy 3.09, 1 Ce 3.13, 3 Nd 3.15-3.20
Te: 0.2541 0.2625 0.5082  3 Dy 3.09, 3 Nd 3.20
Te: 0.7424 0.7410 0.9917  2 Dy 3.09, 1 Ce 3.13, 3 Nd 3.15-3.20
Te: 0.2576 0.2590 0.0083  2 Dy 3.09, 1 Ce 3.13, 3 Nd 3.15-3.20
Te: 0.7459 0.7375 0.4918  3 Dy 3.09, 3 Nd 3.20
Te: 0.7507 0.2589 0.5013  2 Dy 3.09, 1 Ce 3.13, 3 Nd 3.15-3.20
Te: 0.7506 0.2590 0.0083  2 Dy 3.09, 1 Ce 3.13, 3 Nd 3.15-3.20

**Energy relative to the elements, uncorrected**: -1363 meV/atom

Entry 5:
First-principles (PBE-GGA) data for a relaxed Ce3NdDy2Te6 crystal, as listed in Alexandria via LeMat-Bulk.

Cell lengths 7.6624, 7.6624, 7.7714 Å; angles 99.45, 99.45, 120.06 degrees
With the nearest neighbours (Å) after each atom.
Positions (direct):
Ce: 0.1617 0.8383 0.5000  6 Te 3.17-3.20
Ce: 0.8383 0.1617 0.5000  6 Te 3.17-3.20
Ce: 0.5000 0.5000 0.5000  6 Te 3.14-3.19
Nd: 0.0000 0.0000 0.0000  6 Te 3.15-3.17
Dy: 0.3323 0.6677 0.0000  6 Te 3.08-3.09
Dy: 0.6677 0.3323 0.0000  6 Te 3.08-3.09
Te: 0.9183 0.5774 0.7557  2 Dy 3.09, 1 Nd 3.17, 3 Ce 3.17-3.20
Te: 0.7381 0.7381 0.2388  2 Dy 3.08, 3 Ce 3.14-3.17, 1 Nd 3.15
Te: 0.0817 0.4226 0.2443  2 Dy 3.09, 1 Nd 3.17, 3 Ce 3.17-3.20
Te: 0.5774 0.9183 0.7557  2 Dy 3.09, 1 Nd 3.17, 3 Ce 3.17-3.20
Te: 0.2619 0.2619 0.7612  2 Dy 3.08, 3 Ce 3.14-3.17, 1 Nd 3.15
Te: 0.4226 0.0817 0.2443  2 Dy 3.09, 1 Nd 3.17, 3 Ce 3.17-3.20

**Energy relative to the elements, uncorrected**: -1357 meV/atom

Entry 6:
First-principles (PBE-GGA) data for a relaxed CeNd3Dy2Te6 crystal, as listed in Alexandria via LeMat-Bulk.

Cell lengths 4.4154, 8.9754, 9.9485 Å; angles 103.09, 102.82, 90.00 degrees
With the nearest neighbours (Å) after each atom.
Positions (direct):
Ce: 0.5000 0.0000 0.0000  6 Te 3.15-3.18
Nd: 0.5000 0.5000 0.0000  6 Te 3.15-3.21
Nd: 0.8368 0.1673 0.6737  6 Te 3.15-3.21
Nd: 0.1632 0.8327 0.3263  6 Te 3.15-3.21
Dy: 0.8345 0.6694 0.6690  6 Te 3.05-3.11
Dy: 0.1655 0.3306 0.3310  6 Te 3.05-3.11
Te: 0.3317 0.9081 0.6634  2 Dy 3.09, 1 Ce 3.18, 3 Nd 3.18-3.19
Te: 0.6702 0.5763 0.3403  3 Dy 3.10-3.11, 3 Nd 3.21
Te: 0.6683 0.0919 0.3366  2 Dy 3.09, 1 Ce 3.18, 3 Nd 3.18-3.19
Te: 0.0040 0.2517 0.0079  1 Dy 3.05, 2 Ce 3.15, 3 Nd 3.15
Te: 0.9960 0.7483 0.9921  1 Dy 3.05, 2 Ce 3.15, 3 Nd 3.15
Te: 0.3298 0.4237 0.6597  3 Dy 3.10-3.11, 3 Nd 3.21

**Energy relative to the elements, uncorrected**: -1371 meV/atom

Entry 7:
First-principles (PBE-GGA) data for a relaxed CeNd2Dy3Te6 crystal, as listed in Alexandria via LeMat-Bulk.

Cell lengths 4.3821, 8.9474, 9.9349 Å; angles 104.11, 102.74, 90.00 degrees
With the nearest neighbours (Å) after each atom.
Positions (direct):
Ce: 0.5000 0.0000 0.0000  6 Te 3.17-3.18
Nd: 0.8336 0.6673 0.6671  6 Te 3.18-3.19
Nd: 0.1664 0.3327 0.3329  6 Te 3.18-3.19
Dy: 0.5000 0.5000 0.0000  6 Te 3.08
Dy: 0.8318 0.1654 0.6636  6 Te 3.06-3.09
Dy: 0.1682 0.8346 0.3364  6 Te 3.06-3.09
Te: 0.3313 0.9236 0.6626  3 Dy 3.06-3.08, 1 Ce 3.17, 2 Nd 3.18
Te: 0.6641 0.5903 0.3282  3 Dy 3.08, 3 Nd 3.18-3.19
Te: 0.6687 0.0764 0.3374  3 Dy 3.06-3.08, 1 Ce 3.17, 2 Nd 3.18
Te: 0.9967 0.2563 0.9934  3 Dy 3.08-3.09, 2 Ce 3.18, 1 Nd 3.19
Te: 0.0033 0.7437 0.0066  3 Dy 3.08-3.09, 2 Ce 3.18, 1 Nd 3.19
Te: 0.3359 0.4097 0.6718  3 Dy 3.08, 3 Nd 3.18-3.19

**Energy relative to the elements, uncorrected**: -1349 meV/atom

Entry 8:
First-principles (PBE-GGA) data for a relaxed Ce3Nd3DyTe8 crystal, as listed in Alexandria via LeMat-Bulk.

Cell lengths 8.9523, 8.9519, 8.9627 Å; angles 119.96, 90.00, 120.00 degrees
With the nearest neighbours (Å) after each atom.
Positions (direct):
Ce: 0.5000 0.0000 0.5000  6 Te 3.17
Ce: 0.5000 0.5000 0.5000  6 Te 3.16-3.17
Ce: 0.0000 0.5000 0.5000  6 Te 3.17
Nd: 0.0000 0.0000 0.0000  6 Te 3.17
Nd: 0.0000 0.5000 0.0000  6 Te 3.17
Nd: 0.5000 0.5000 0.0000  6 Te 3.17
Dy: 0.0000 0.0000 0.5000  6 Te 3.15
Te: 0.2502 0.5003 0.2504  3 Ce 3.16-3.17, 3 Nd 3.17
Te: 0.7498 0.4997 0.7496  3 Ce 3.16-3.17, 3 Nd 3.17
Te: 0.7512 0.5023 0.2513  1 Dy 3.15, 2 Ce 3.17, 2 Nd 3.17
Te: 0.2488 0.4977 0.7487  1 Dy 3.15, 2 Ce 3.17, 2 Nd 3.17
Te: 0.7512 0.0001 0.2513  1 Dy 3.15, 2 Ce 3.17, 2 Nd 3.17
Te: 0.2488 0.9999 0.7487  1 Dy 3.15, 2 Ce 3.17, 2 Nd 3.17
Te: 0.2489 0.0001 0.2513  1 Dy 3.15, 2 Ce 3.17, 2 Nd 3.17
Te: 0.7511 0.9999 0.7487  1 Dy 3.15, 2 Ce 3.17, 2 Nd 3.17

**Energy relative to the elements, uncorrected**: -1422 meV/atom

Entry 9:
First-principles (PBE-GGA) data for a relaxed Ce3Nd2DyTe6 crystal, as listed in Alexandria via LeMat-Bulk.

Cell lengths 7.7187, 7.7187, 7.7905 Å; angles 99.50, 99.50, 120.05 degrees
With the nearest neighbours (Å) after each atom.
Positions (direct):
Ce: 0.1713 0.8287 0.5000  6 Te 3.16-3.19
Ce: 0.8287 0.1713 0.5000  6 Te 3.16-3.19
Ce: 0.5000 0.5000 0.5000  6 Te 3.16-3.21
Nd: 0.3341 0.6659 0.0000  6 Te 3.16-3.18
Nd: 0.6659 0.3341 0.0000  6 Te 3.16-3.18
Dy: 0.0000 0.0000 0.0000  6 Te 3.09-3.11
Te: 0.9188 0.5928 0.7552  1 Dy 3.09, 3 Ce 3.16-3.19, 2 Nd 3.16-3.17
Te: 0.7580 0.7580 0.2496  1 Dy 3.11, 2 Nd 3.18, 3 Ce 3.18-3.21
Te: 0.0812 0.4072 0.2448  1 Dy 3.09, 3 Ce 3.16-3.19, 2 Nd 3.16-3.17
Te: 0.5928 0.9188 0.7552  1 Dy 3.09, 3 Ce 3.16-3.19, 2 Nd 3.16-3.17
Te: 0.2420 0.2420 0.7504  1 Dy 3.11, 2 Nd 3.18, 3 Ce 3.18-3.21
Te: 0.4072 0.0812 0.2448  1 Dy 3.09, 3 Ce 3.16-3.19, 2 Nd 3.16-3.17

**Energy relative to the elements, uncorrected**: -1380 meV/atom

Entry 10:
First-principles (PBE-GGA) data for a relaxed Ce3Nd4DyTe8 crystal, as listed in Alexandria via LeMat-Bulk.

Cell lengths 8.9392, 8.9709, 8.9392 Å; angles 119.89, 120.00, 90.00 degrees
With the nearest neighbours (Å) after each atom.
Positions (direct):
Ce: 0.5000 0.5000 0.0000  6 Te 3.16
Ce: 0.5000 0.5000 0.5000  6 Te 3.16
Ce: 0.0000 0.5000 0.5000  6 Te 3.16
Nd: 0.5000 0.0000 0.0000  6 Te 3.22
Nd: 0.5000 0.0000 0.5000  6 Te 3.17
Nd: 0.0000 0.0000 0.0000  6 Te 3.17
Nd: 0.0000 0.0000 0.5000  6 Te 3.17
Dy: 0.0000 0.5000 0.0000  6 Te 3.11
Te: 0.2459 0.7452 0.9993  1 Dy 3.11, 2 Ce 3.16, 3 Nd 3.17-3.22
Te: 0.2459 0.7452 0.4917  1 Dy 3.11, 2 Ce 3.16, 3 Nd 3.17-3.22
Te: 0.2503 0.2508 0.5005  3 Ce 3.16, 3 Nd 3.17
Te: 0.7534 0.7452 0.9993  1 Dy 3.11, 2 Ce 3.16, 3 Nd 3.17-3.22
Te: 0.2466 0.2548 0.0007  1 Dy 3.11, 2 Ce 3.16, 3 Nd 3.17-3.22
Te: 0.7497 0.7492 0.4995  3 Ce 3.16, 3 Nd 3.17
Te: 0.7541 0.2548 0.5083  1 Dy 3.11, 2 Ce 3.16, 3 Nd 3.17-3.22
Te: 0.7541 0.2548 0.0007  1 Dy 3.11, 2 Ce 3.16, 3 Nd 3.17-3.22

**Energy relative to the elements, uncorrected**: -1388 meV/atom

Entry 11:
First-principles (PBE-GGA) data for a relaxed CeNd3Dy3Te8 crystal, as listed in Alexandria via LeMat-Bulk.

Cell lengths 8.8345, 8.8345, 8.8335 Å; angles 120.00, 90.00, 120.00 degrees
With the nearest neighbours (Å) after each atom.
Positions (direct):
Ce: 0.0000 0.0000 0.5000  6 Te 3.23
Nd: 0.0000 0.0000 0.0000  6 Te 3.17
Nd: 0.0000 0.5000 0.0000  6 Te 3.17
Nd: 0.5000 0.5000 0.0000  6 Te 3.17
Dy: 0.5000 0.0000 0.5000  6 Te 3.08
Dy: 0.5000 0.5000 0.5000  6 Te 3.08
Dy: 0.0000 0.5000 0.5000  6 Te 3.08
Te: 0.2538 0.5076 0.2614  3 Dy 3.08, 3 Nd 3.17
Te: 0.7462 0.4924 0.7386  3 Dy 3.08, 3 Nd 3.17
Te: 0.7414 0.4828 0.2493  2 Dy 3.08, 2 Nd 3.17, 1 Ce 3.23
Te: 0.2586 0.5172 0.7507  2 Dy 3.08, 2 Nd 3.17, 1 Ce 3.23
Te: 0.7414 0.0079 0.2493  2 Dy 3.08, 2 Nd 3.17, 1 Ce 3.23
Te: 0.2586 0.9921 0.7507  2 Dy 3.08, 2 Nd 3.17, 1 Ce 3.23
Te: 0.2665 0.0079 0.2493  2 Dy 3.08, 2 Nd 3.17, 1 Ce 3.23
Te: 0.7335 0.9921 0.7507  2 Dy 3.08, 2 Nd 3.17, 1 Ce 3.23

**Energy relative to the elements, uncorrected**: -1396 meV/atom

Entry 12:
First-principles (PBE-GGA) data for a relaxed Ce2NdDyTl4 crystal, as listed in Alexandria via LeMat-Bulk.

Cell lengths 5.4799, 5.4799, 9.5132 Å; angles 73.26, 73.26, 60.00 degrees
With the nearest neighbours (Å) after each atom.
Positions (direct):
Ce: 0.7506 0.7506 0.7483  8 Tl 3.32-3.41
Ce: 0.2494 0.2494 0.2517  8 Tl 3.32-3.41
Nd: 0.0000 0.0000 0.0000  8 Tl 3.37-3.39
Dy: 0.5000 0.5000 0.5000  8 Tl 3.33-3.35
Tl: 0.3763 0.3763 0.8712  1 Dy 3.33, 4 Ce 3.35-3.41, 3 Nd 3.37
Tl: 0.8739 0.8739 0.3784  4 Ce 3.32-3.36, 3 Dy 3.35, 1 Nd 3.39
Tl: 0.1261 0.1261 0.6216  4 Ce 3.32-3.36, 3 Dy 3.35, 1 Nd 3.39
Tl: 0.6237 0.6237 0.1288  1 Dy 3.33, 4 Ce 3.35-3.41, 3 Nd 3.37

**E**: -4.121 eV per atom